Arrangement i

Computed, not measured: an optimized crystal structure of Tl3ZnTc at the PBE level of DFT.

Values from the calculation:
Fermi-level density of states = 3.639 states/eV/cell
symmetry = No. 221

The structure in POSCAR format:
```
Tl3ZnTc
1.0
5.3491 0.0000 0.0000
0.0000 5.3491 0.0000
0.0000 0.0000 5.3491
Tl Zn Tc
3 1 1
Cartesian
0.0000 0.0000 2.6745
0.0000 2.6745 0.0000
2.6745 0.0000 0.0000
2.6745 2.6745 2.6745
0.0000 0.0000 0.0000
```



Arrangement ii

Computed, not measured: an optimized crystal structure of Tl3ZnTc at the PBE level of DFT.

Values from the calculation:
Fermi-level density of states = 3.542 states/eV/cell
symmetry = No. 221

The structure in POSCAR format:
```
Tl3ZnTc
1.0
5.2420 0.0000 0.0000
0.0000 5.2420 0.0000
0.0000 0.0000 5.2420
Tl Zn Tc
3 1 1
Cartesian
0.0000 0.0000 2.6210
0.0000 2.6210 0.0000
2.6210 0.0000 0.0000
0.0000 0.0000 0.0000
2.6210 2.6210 2.6210
```



Which structure is most stable? arrangement i, by 542 meV per atom over the runner-up.



Arrangement i

Computed, not measured: an optimized crystal structure of TlZn2Tc at the PBE level of DFT.

Values from the calculation:
Fermi-level density of states = 1.207 states/eV/cell
symmetry = No. 122

The structure in POSCAR format:
```
TlZn2Tc
1.0
-3.6615 3.6615 2.7650
3.6615 -3.6615 2.7650
3.6615 3.6615 -2.7650
Tl Zn Tc
2 4 2
Cartesian
0.0000 0.0000 0.0000
0.0000 3.6615 1.3825
1.8308 -1.6488 2.0737
2.0127 1.8308 0.6912
1.8308 5.3104 -0.6912
1.6488 1.8308 3.4562
3.6615 0.0000 1.3825
0.0000 0.0000 2.7650
```



Arrangement ii

Computed, not measured: an optimized crystal structure of TlZn2Tc at the PBE level of DFT.

Values from the calculation:
Fermi-level density of states = 3.398 states/eV/cell
symmetry = No. 123

The structure in POSCAR format:
```
TlZn2Tc
1.0
3.4234 0.0000 0.0000
0.0000 3.4234 0.0000
0.0000 0.0000 5.9182
Tl Zn Tc
1 2 1
Cartesian
0.0000 0.0000 0.0000
1.7117 1.7117 1.7484
1.7117 1.7117 4.1697
0.0000 0.0000 2.9591
```



Which structure is most stable? arrangement ii, by 219 meV per atom over the runner-up.



Arrangement i

Computed, not measured: an optimized crystal structure of TlZnTc3 at the PBE level of DFT.

Values from the calculation:
Fermi-level density of states = 8.532 states/eV/cell
symmetry = No. 221

The structure in POSCAR format:
```
TlZnTc3
1.0
5.0885 0.0000 0.0000
0.0000 5.0885 0.0000
0.0000 0.0000 5.0885
Tl Zn Tc
1 1 3
Cartesian
0.0000 0.0000 0.0000
2.5443 2.5443 2.5443
0.0000 0.0000 2.5443
0.0000 2.5443 0.0000
2.5443 0.0000 0.0000
```



Arrangement ii

Computed, not measured: an optimized crystal structure of TlZnTc3 at the PBE level of DFT.

Values from the calculation:
Fermi-level density of states = 5.770 states/eV/cell
symmetry = No. 221

The structure in POSCAR format:
```
TlZnTc3
1.0
4.6054 0.0000 0.0000
0.0000 4.6054 0.0000
0.0000 0.0000 4.6054
Tl Zn Tc
1 1 3
Cartesian
0.0000 0.0000 0.0000
2.3027 2.3027 2.3027
0.0000 2.3027 2.3027
2.3027 0.0000 2.3027
2.3027 2.3027 0.0000
```



Which structure is most stable? arrangement ii, by 955 meV per atom over the runner-up.



Arrangement i

Computed, not measured: an optimized crystal structure of ZrTlTc3 at the PBE level of DFT.

Values from the calculation:
Fermi-level density of states = 7.788 states/eV/cell
symmetry = No. 221

The structure in POSCAR format:
```
ZrTlTc3
1.0
4.8853 0.0000 0.0000
0.0000 4.8853 0.0000
0.0000 0.0000 4.8853
Zr Tl Tc
1 1 3
Cartesian
0.0000 0.0000 0.0000
2.4427 2.4427 2.4427
0.0000 2.4427 2.4427
2.4427 0.0000 2.4427
2.4427 2.4427 0.0000
```



Arrangement ii

Computed, not measured: an optimized crystal structure of ZrTlTc3 at the PBE level of DFT.

Values from the calculation:
Fermi-level density of states = 4.198 states/eV/cell
symmetry = No. 221

The structure in POSCAR format:
```
ZrTlTc3
1.0
4.8514 0.0000 0.0000
0.0000 4.8514 0.0000
0.0000 0.0000 4.8514
Zr Tl Tc
1 1 3
Cartesian
0.0000 0.0000 0.0000
2.4257 2.4257 2.4257
0.0000 0.0000 2.4257
0.0000 2.4257 0.0000
2.4257 0.0000 0.0000
```



Which structure is most stable? arrangement ii, by 404 meV per atom over the runner-up.



Arrangement i

Computed, not measured: an optimized crystal structure of ZrTlTc2 at the PBE level of DFT.

Values from the calculation:
Fermi-level density of states = 3.748 states/eV/cell
symmetry = No. 166

The structure in POSCAR format:
```
ZrTlTc2
1.0
1.5846 0.9149 8.6648
-1.5846 0.9149 8.6648
0.0000 -1.8297 8.6648
Zr Tl Tc
1 1 2
Cartesian
0.0000 0.0000 0.0000
0.0000 0.0000 12.9971
0.0000 0.0000 6.5880
0.0000 0.0000 19.4063
```



Arrangement ii

Computed, not measured: an optimized crystal structure of ZrTlTc2 at the PBE level of DFT.

Values from the calculation:
Fermi-level density of states = 5.233 states/eV/cell
symmetry = No. 123

The structure in POSCAR format:
```
ZrTlTc2
1.0
4.5229 0.0000 0.0000
0.0000 4.5229 0.0000
0.0000 0.0000 3.4960
Zr Tl Tc
1 1 2
Cartesian
0.0000 0.0000 0.0000
2.2614 2.2614 0.0000
0.0000 2.2614 1.7480
2.2614 0.0000 1.7480
```



Arrangement iii

Computed, not measured: an optimized crystal structure of ZrTlTc2 at the PBE level of DFT.

Values from the calculation:
Fermi-level density of states = 3.975 states/eV/cell
symmetry = No. 99

The structure in POSCAR format:
```
ZrTlTc2
1.0
3.0383 0.0000 0.0000
0.0000 3.0383 0.0000
0.0000 0.0000 8.1160
Zr Tl Tc
1 1 2
Cartesian
0.0000 0.0000 0.0000
1.5191 1.5191 5.6308
0.0000 0.0000 3.4420
1.5191 1.5191 2.0198
```



Arrangement iv

Computed, not measured: an optimized crystal structure of ZrTlTc2 at the PBE level of DFT.

Values from the calculation:
Fermi-level density of states = 3.681 states/eV/cell
symmetry = No. 65

The structure in POSCAR format:
```
ZrTlTc2
1.0
1.6516 -2.4871 0.0000
1.6516 2.4871 0.0000
0.0000 0.0000 9.0393
Zr Tl Tc
1 1 2
Cartesian
0.0000 0.0000 0.0000
0.0000 0.0000 4.5196
1.6516 0.0000 2.1483
1.6516 0.0000 6.8910
```



Which structure is most stable? arrangement iii, by 137 meV per atom over the runner-up.



Arrangement i

Computed, not measured: an optimized crystal structure of ZrTlTc2 at the PBE level of DFT.

Values from the calculation:
Fermi-level density of states = 3.779 states/eV/cell
symmetry = No. 160

The structure in POSCAR format:
```
ZrTlTc2
1.0
1.4902 0.8604 9.6767
-1.4902 0.8604 9.6767
0.0000 -1.7207 9.6767
Zr Tl Tc
1 1 2
Cartesian
0.0000 0.0000 0.0000
0.0000 0.0000 6.9437
0.0000 0.0000 14.1541
0.0000 0.0000 21.8799
```



Arrangement ii

Computed, not measured: an optimized crystal structure of ZrTlTc2 at the PBE level of DFT.

Values from the calculation:
Fermi-level density of states = 3.221 states/eV/cell
symmetry = No. 10

The structure in POSCAR format:
```
ZrTlTc2
1.0
3.0654 0.0000 0.0000
0.0000 4.5140 0.0000
-1.0589 0.0000 5.7395
Zr Tl Tc
1 1 2
Cartesian
0.0000 0.0000 0.0000
1.0033 0.0000 2.8698
0.3789 2.2570 4.6106
1.6276 2.2570 1.1290
```



Arrangement iii

Computed, not measured: an optimized crystal structure of ZrTlTc2 at the PBE level of DFT.

Values from the calculation:
Fermi-level density of states = 8.738 states/eV/cell
symmetry = No. 122

The structure in POSCAR format:
```
ZrTlTc2
1.0
-2.0655 2.0655 9.7584
2.0655 -2.0655 9.7584
2.0655 2.0655 -9.7584
Zr Tl Tc
2 2 4
Cartesian
0.0000 0.0000 0.0000
0.0000 2.0655 4.8792
2.0655 0.0000 4.8792
0.0000 0.0000 9.7584
3.0982 0.6810 -2.4396
0.6810 1.0327 2.4396
-1.0327 1.3845 7.3188
1.3845 1.0327 12.1981
```



Which structure is most stable? arrangement ii, by 45 meV per atom over the runner-up.



Arrangement i

Computed, not measured: an optimized crystal structure of ZrTlTc2 at the PBE level of DFT.

Values from the calculation:
Fermi-level density of states = 5.022 states/eV/cell
symmetry = No. 44

The structure in POSCAR format:
```
ZrTlTc2
1.0
-1.6709 2.2750 4.7634
1.6709 -2.2750 4.7634
1.6709 2.2750 -4.7634
Zr Tl Tc
1 1 2
Cartesian
0.0000 0.0000 0.0000
0.0000 2.2750 2.1553
1.6709 0.0000 2.3765
0.0000 0.0000 4.4881
```



Arrangement ii

Computed, not measured: an optimized crystal structure of ZrTlTc2 at the PBE level of DFT.

Values from the calculation:
Fermi-level density of states = 4.453 states/eV/cell
symmetry = No. 225

The structure in POSCAR format:
```
ZrTlTc2
1.0
0.0000 3.3003 3.3003
3.3003 0.0000 3.3003
3.3003 3.3003 0.0000
Zr Tl Tc
1 1 2
Cartesian
0.0000 0.0000 0.0000
3.3003 3.3003 3.3003
1.6501 1.6501 1.6501
4.9504 4.9504 4.9504
```



Arrangement iii

Computed, not measured: an optimized crystal structure of ZrTlTc2 at the PBE level of DFT.

Values from the calculation:
Fermi-level density of states = 4.214 states/eV/cell
symmetry = No. 71

The structure in POSCAR format:
```
ZrTlTc2
1.0
-1.6928 2.3750 4.5452
1.6928 -2.3750 4.5452
1.6928 2.3750 -4.5452
Zr Tl Tc
1 1 2
Cartesian
0.0000 0.0000 0.0000
0.0000 0.0000 4.5452
1.6928 0.0000 2.1670
0.0000 2.3750 2.3782
```



Which structure is most stable? arrangement i, by 101 meV per atom over the runner-up.



Arrangement i

Computed, not measured: an optimized crystal structure of ZrTlTc2 at the PBE level of DFT.

Values from the calculation:
Fermi-level density of states = 2.509 states/eV/cell
symmetry = No. 25

The structure in POSCAR format:
```
ZrTlTc2
1.0
3.0892 0.0000 0.0000
0.0000 4.0015 0.0000
0.0000 0.0000 5.9441
Zr Tl Tc
1 1 2
Cartesian
0.0000 0.0000 0.0000
1.5446 2.0008 4.1925
0.0000 0.0000 2.5463
1.5446 2.0008 1.3926
```



Arrangement ii

Computed, not measured: an optimized crystal structure of ZrTlTc2 at the PBE level of DFT.

Values from the calculation:
Fermi-level density of states = 4.687 states/eV/cell
symmetry = No. 119

The structure in POSCAR format:
```
ZrTlTc2
1.0
-2.0281 2.0281 4.3652
2.0281 -2.0281 4.3652
2.0281 2.0281 -4.3652
Zr Tl Tc
1 1 2
Cartesian
0.0000 0.0000 0.0000
0.0000 2.0281 2.1826
2.0281 0.0000 2.1826
0.0000 0.0000 4.3652
```



Which structure is most stable? arrangement i, by 89 meV per atom over the runner-up.



Arrangement i

Computed, not measured: an optimized crystal structure of TmTc6 at the PBE level of DFT.

Values from the calculation:
Fermi-level density of states = 20.986 states/eV/cell
symmetry = No. 62

The structure in POSCAR format:
```
TmTc6
1.0
8.4436 0.0000 0.0000
0.0000 5.1498 0.0000
0.0000 0.0000 10.7205
Tm Tc
4 24
Cartesian
1.9731 1.2874 0.6095
2.2487 3.8623 5.9698
6.1949 1.2874 4.7507
6.4705 3.8623 10.1110
0.5992 0.0474 3.2698
0.5992 2.5274 3.2698
0.6278 3.8623 0.8211
0.6610 1.2874 5.5910
1.1697 3.8623 9.1347
1.5619 1.2874 8.1174
2.6599 3.8623 2.7571
3.0521 1.2874 3.7745
3.5608 3.8623 0.2308
3.5940 1.2874 6.1814
3.6226 2.6223 8.6301
3.6226 5.1023 8.6301
4.8210 0.0474 2.0905
4.8210 2.5274 2.0905
4.8497 3.8623 4.5392
4.8828 1.2874 10.4898
5.3915 3.8623 6.9461
5.7837 1.2874 7.9634
6.8817 3.8623 2.6032
7.2739 1.2874 1.5858
7.7826 3.8623 5.1295
7.8158 1.2874 9.8994
7.8444 2.6223 7.4507
7.8444 5.1023 7.4507
```



Arrangement ii

Computed, not measured: an optimized crystal structure of TmTc6 at the PBE level of DFT.

Values from the calculation:
Fermi-level density of states = 6.254 states/eV/cell
symmetry = No. 229

The structure in POSCAR format:
```
TmTc6
1.0
-3.3769 3.3769 3.3769
3.3769 -3.3769 3.3769
3.3769 3.3769 -3.3769
Tm Tc
1 6
Cartesian
0.0000 0.0000 0.0000
3.3769 1.6885 0.0000
3.3769 0.0000 1.6885
1.6885 3.3769 0.0000
1.6885 0.0000 3.3769
0.0000 3.3769 1.6885
0.0000 1.6885 3.3769
```



Which structure is most stable? arrangement i, by 916 meV per atom over the runner-up.



Arrangement i

Computed, not measured: an optimized crystal structure of Tm4Tc at the PBE level of DFT.

Values from the calculation:
Fermi-level density of states = 9.196 states/eV/cell
symmetry = No. 13

The structure in POSCAR format:
```
Tm4Tc
1.0
6.2955 0.0000 0.0000
0.0000 7.5939 0.0000
-1.8993 0.0000 5.7762
Tm Tc
8 2
Cartesian
1.3822 1.1013 0.1485
0.4326 6.4926 3.0366
0.6406 2.9487 2.9680
1.5903 4.6451 0.0798
2.8060 2.9487 5.6964
3.7556 4.6451 2.8083
3.9637 1.1013 2.7396
3.0140 6.4926 5.6277
1.7233 0.9267 4.3322
2.6729 6.6672 1.4441
```



Arrangement ii

Computed, not measured: an optimized crystal structure of Tm4Tc at the PBE level of DFT.

Values from the calculation:
Fermi-level density of states = 7.137 states/eV/cell
symmetry = No. 221

The structure in POSCAR format:
```
Tm4Tc
1.0
5.3073 0.0000 0.0000
0.0000 5.3073 0.0000
0.0000 0.0000 5.3073
Tm Tc
4 1
Cartesian
0.0000 0.0000 0.0000
0.0000 2.6537 2.6537
2.6537 0.0000 2.6537
2.6537 2.6537 0.0000
2.6537 2.6537 2.6537
```



Which structure is most stable? arrangement i, by 117 meV per atom over the runner-up.



Arrangement i

Computed, not measured: an optimized crystal structure of TmUTc at the PBE level of DFT.

Values from the calculation:
Fermi-level density of states = 4.691 states/eV/cell
symmetry = No. 187

The structure in POSCAR format:
```
TmUTc
1.0
4.6833 0.0000 0.0000
-2.3416 4.0559 0.0000
0.0000 0.0000 3.3661
Tm U Tc
1 1 1
Cartesian
0.0000 0.0000 0.0000
0.0000 2.7039 1.6830
2.3416 1.3519 1.6830
```



Arrangement ii

Computed, not measured: an optimized crystal structure of TmUTc at the PBE level of DFT.

Values from the calculation:
Fermi-level density of states = 8.535 states/eV/cell
symmetry = No. 139

The structure in POSCAR format:
```
TmUTc
1.0
-1.7279 1.7279 11.8815
1.7279 -1.7279 11.8815
1.7279 1.7279 -11.8815
Tm U Tc
2 2 2
Cartesian
0.0000 0.0000 1.7760
0.0000 0.0000 21.9869
0.0000 0.0000 8.0192
0.0000 0.0000 15.7437
0.0000 0.0000 4.9032
0.0000 0.0000 18.8598
```



Which structure is most stable? arrangement i, by 15 meV per atom over the runner-up.



Arrangement i

Computed, not measured: an optimized crystal structure of TmVTc at the PBE level of DFT.

Values from the calculation:
Fermi-level density of states = 3.539 states/eV/cell
symmetry = No. 107

The structure in POSCAR format:
```
TmVTc
1.0
-1.5968 1.5968 5.2721
1.5968 -1.5968 5.2721
1.5968 1.5968 -5.2721
Tm V Tc
1 1 1
Cartesian
0.0000 0.0000 0.0000
0.0000 0.0000 3.1705
0.0000 0.0000 7.2418
```



Arrangement ii

Computed, not measured: an optimized crystal structure of TmVTc at the PBE level of DFT.

Values from the calculation:
Fermi-level density of states = 2.695 states/eV/cell
symmetry = No. 156

The structure in POSCAR format:
```
TmVTc
1.0
4.3861 0.0000 0.0000
-2.1931 3.7985 0.0000
0.0000 0.0000 3.2063
Tm V Tc
1 1 1
Cartesian
0.0000 0.0000 0.0000
2.1931 1.2662 1.3231
0.0000 2.5323 1.9932
```



Which structure is most stable? arrangement i, by 171 meV per atom over the runner-up.